Record 1
Computed, not measured: a relaxed structure of NbPd2Au at the PBE level of DFT.

SG: Pmmn, No. 59
Crystal system: orthorhombic
Total moment in μB/cell: 0.00
E above lowest polymorph in meV/atom: 0.0
Calculated total energy in eV/atom: -6.258
Energy relative to the elements in eV per formula unit: -1.299

```
NbPd2Au
1.0
4.731 0.000 0.000
0.000 4.909 0.000
0.000 0.000 5.633
Nb Pd Au
2 4 2
Direct
0.000 0.664 0.500
0.500 0.336 0.000
0.000 0.166 0.249
0.500 0.834 0.251
0.500 0.834 0.749
0.000 0.166 0.751
0.000 0.662 0.000
0.500 0.338 0.500
```

Record 2
Computed, not measured: a relaxed structure of NbPd6Au2 at the PBE level of DFT.

SG: P4_2/mnm, No. 136
Crystal system: tetragonal
Total moment in μB/cell: 0.00
E above lowest polymorph in meV/atom: 0.0
Calculated total energy in eV/atom: -5.559
Energy relative to the elements in eV per formula unit: -2.250

```
NbPd6Au2
1.0
-2.625 3.089 0.366
-1.933 -2.568 7.804
6.154 4.859 3.123
Nb Pd Au
2 12 4
Direct
0.500 0.500 0.000
0.000 0.000 0.500
0.000 0.004 0.171
0.000 0.671 0.504
0.000 0.658 0.842
0.500 0.158 0.658
0.500 0.171 0.996
0.500 0.504 0.329
0.000 0.996 0.829
0.000 0.329 0.496
0.000 0.342 0.158
0.500 0.842 0.342
0.500 0.829 0.004
0.500 0.496 0.671
0.000 0.329 0.829
0.500 0.829 0.671
0.500 0.171 0.329
0.000 0.671 0.171
```

Record 3
Computed, not measured: a relaxed structure of NbPd4Au2 at the PBE level of DFT.

SG: P1, No. 1
Crystal system: triclinic
Total moment in μB/cell: 0.00
E above lowest polymorph in meV/atom: 0.0
Calculated total energy in eV/atom: -5.580
Energy relative to the elements in eV per formula unit: -1.665

```
NbPd4Au2
1.0
-3.529 5.263 -0.769
-3.162 -3.151 3.497
6.173 0.899 4.212
Nb Pd Au
2 8 4
Direct
0.095 0.594 0.463
0.960 0.963 0.036
0.084 0.085 0.458
0.361 0.374 0.323
0.815 0.809 0.612
0.805 0.301 0.595
0.366 0.876 0.325
0.226 0.227 0.900
0.516 0.009 0.750
0.954 0.454 0.044
0.524 0.511 0.746
0.660 0.662 0.182
0.662 0.163 0.175
0.222 0.721 0.889
```

Record 4
Computed, not measured: a relaxed structure of NbPd2Au at the PBE level of DFT.

SG: C2/m, No. 12
Crystal system: monoclinic
Total moment in μB/cell: 0.00
E above lowest polymorph in meV/atom: 83.5
Calculated total energy in eV/atom: -6.174
Energy relative to the elements in eV per formula unit: -0.965

```
NbPd2Au
1.0
5.024 0.000 -0.003
0.000 2.861 0.000
-1.571 0.000 9.198
Nb Pd Au
2 4 2
Direct
0.000 0.500 0.000
0.000 0.000 0.500
0.241 0.000 0.248
0.759 0.000 0.752
0.241 0.500 0.748
0.759 0.500 0.252
0.500 0.500 0.500
0.500 0.000 0.000
```

Record 5
Computed, not measured: a relaxed structure of NbPd2Au at the PBE level of DFT.

SG: Pm, No. 6
Crystal system: monoclinic
Total moment in μB/cell: 0.00
E above lowest polymorph in meV/atom: 9.8
Calculated total energy in eV/atom: -6.248
Energy relative to the elements in eV per formula unit: -1.259

```
NbPd2Au
1.0
-2.848 -3.459 -2.097
3.599 -3.074 0.182
-1.687 -1.675 5.061
Nb Pd Au
2 4 2
Direct
0.547 0.000 0.743
0.859 0.500 0.259
0.371 0.500 0.501
0.375 0.500 0.003
0.555 0.000 0.255
0.047 0.000 0.504
0.051 0.000 0.011
0.865 0.500 0.754
```

Record 6
Computed, not measured: a relaxed structure of NbPd3Au at the PBE level of DFT.

SG: Pm-3m, No. 221
Crystal system: cubic
Total moment in μB/cell: 0.00
E above lowest polymorph in meV/atom: 1216.7
Calculated total energy in eV/atom: -4.822
Energy relative to the elements in eV per formula unit: 4.815

```
NbPd3Au
1.0
-0.272 -4.707 -0.980
4.364 -0.653 1.927
-2.016 -0.779 4.303
Nb Au Pd
1 1 3
Direct
0.000 0.000 0.000
0.500 0.500 0.500
0.000 0.500 0.000
0.000 0.000 0.500
0.500 0.000 0.000
```

Record 7
Computed, not measured: a relaxed structure of Nb3Pd4Au at the PBE level of DFT.

SG: Pmn2_1, No. 31
Crystal system: orthorhombic
Total moment in μB/cell: 0.00
Calculated total energy in eV/atom: -7.005
Energy relative to the elements in eV per formula unit: -1.785

```
Nb3Pd4Au
1.0
-2.929 -3.607 1.507
4.433 -3.743 -0.340
2.256 1.868 8.853
Nb Pd Au
6 8 2
Direct
0.274 0.895 0.000
0.112 0.641 0.257
0.612 0.359 0.243
0.774 0.105 0.500
0.612 0.359 0.757
0.112 0.641 0.743
0.765 0.637 0.000
0.774 0.125 0.000
0.109 0.133 0.250
0.609 0.867 0.250
0.274 0.875 0.500
0.265 0.363 0.500
0.609 0.867 0.750
0.109 0.133 0.750
0.259 0.388 0.000
0.759 0.612 0.500
```

Record 8
Computed, not measured: a relaxed structure of NbPd3Au at the PBE level of DFT.

SG: P-1, No. 2
Crystal system: triclinic
Total moment in μB/cell: 0.00
E above lowest polymorph in meV/atom: 0.0
Calculated total energy in eV/atom: -6.039
Energy relative to the elements in eV per formula unit: -1.268

```
NbPd3Au
1.0
-0.710 -1.873 5.305
0.062 -3.998 -2.965
5.843 0.450 2.351
Nb Pd Au
2 6 2
Direct
0.780 0.784 0.602
0.220 0.216 0.398
0.708 0.189 0.398
0.594 0.592 0.213
0.406 0.408 0.787
0.292 0.811 0.602
0.000 0.000 0.000
0.500 0.000 0.000
0.902 0.392 0.797
0.098 0.608 0.203
```

Record 9
Computed, not measured: a relaxed structure of NbPd14Au at the PBE level of DFT.

SG: P4/mmm, No. 123
Crystal system: tetragonal
Total moment in μB/cell: 0.00
Calculated total energy in eV/atom: -5.515
Energy relative to the elements in eV per formula unit: -2.186

```
NbPd14Au
1.0
5.675 -0.012 0.000
0.012 5.675 0.000
0.000 0.000 7.780
Nb Pd Au
1 14 1
Direct
0.875 0.875 0.500
0.875 0.875 0.000
0.375 0.375 0.000
0.875 0.375 0.500
0.875 0.375 0.000
0.375 0.875 0.500
0.375 0.875 0.000
0.630 0.120 0.253
0.630 0.120 0.747
0.120 0.630 0.253
0.120 0.630 0.747
0.630 0.630 0.253
0.630 0.630 0.747
0.120 0.120 0.253
0.120 0.120 0.747
0.375 0.375 0.500
```

Record 10
Computed, not measured: a relaxed structure of Nb6PdAu at the PBE level of DFT.

SG: Cmmm, No. 65
Crystal system: orthorhombic
Total moment in μB/cell: 0.00
Calculated total energy in eV/atom: -8.687
Energy relative to the elements in eV per formula unit: -0.604

```
Nb6PdAu
1.0
-2.625 2.601 -2.598
-4.606 -1.806 2.845
1.775 4.624 2.835
Nb Pd Au
6 1 1
Direct
0.500 0.125 0.375
0.500 0.625 0.875
0.000 0.366 0.117
0.000 0.883 0.634
0.000 0.377 0.623
0.000 0.873 0.127
0.500 0.125 0.875
0.500 0.625 0.375
```

Record 11
Computed, not measured: a relaxed structure of Nb2Pd4Au3 at the PBE level of DFT.

SG: C2/c, No. 15
Crystal system: monoclinic
Total moment in μB/cell: 0.00
E above lowest polymorph in meV/atom: 192.8
Calculated total energy in eV/atom: -5.745
Energy relative to the elements in eV per formula unit: -0.958

```
Nb2Pd4Au3
1.0
-3.730 2.525 -2.708
-5.911 -5.147 0.592
-3.861 3.536 5.863
Nb Pd Au
4 8 6
Direct
0.607 0.192 0.381
0.893 0.619 0.808
0.393 0.808 0.619
0.107 0.381 0.192
0.520 0.881 0.295
0.980 0.705 0.119
0.480 0.119 0.705
0.020 0.295 0.881
0.085 0.158 0.502
0.415 0.498 0.842
0.915 0.842 0.498
0.585 0.502 0.158
0.054 0.038 0.175
0.446 0.825 0.962
0.946 0.962 0.825
0.554 0.175 0.038
0.250 0.490 0.510
0.750 0.510 0.490
```

Record 12
Computed, not measured: a relaxed structure of NbPd2Au at the PBE level of DFT.

SG: P2, No. 3
Crystal system: monoclinic
Total moment in μB/cell: 0.00
E above lowest polymorph in meV/atom: 67.8
Calculated total energy in eV/atom: -6.190
Energy relative to the elements in eV per formula unit: -1.028

```
NbPd2Au
1.0
-3.021 3.598 -1.572
-4.397 -3.518 0.396
0.265 0.227 4.957
Nb Pd Au
2 4 2
Direct
0.000 0.512 0.500
0.500 0.506 0.000
0.000 0.750 0.000
0.500 0.747 0.500
0.000 0.002 0.500
0.000 0.259 0.000
0.500 0.001 0.000
0.500 0.253 0.500
```